[1]
{
  "formula": "KDyNp",
  "functional": "GGA-PBE",
  "state": "optimized geometry",
  "lattice_angstrom": [[0.000, 4.043, 4.043], [4.043, 0.000, 4.043], [4.043, 4.043, 0.000]],
  "species": ["K", "Dy", "Np"],
  "fractional_positions": [[0.000, 0.000, 0.000], [0.500, 0.500, 0.500], [0.750, 0.750, 0.750]],
  "de_polymorph_ev_per_atom": 0.000,
  "sg": "F-43m (216)",
  "magmom_total_mub_per_cell": 7.305
}

---

[2]
{
  "formula": "K2Dy2O5",
  "functional": "GGA-PBE",
  "state": "optimized geometry",
  "lattice_angstrom": [[4.354, 0.000, 0.000], [0.000, 4.354, 0.000], [0.000, 0.000, 7.119]],
  "species": ["K", "K", "Dy", "Dy", "O", "O", "O", "O", "O"],
  "fractional_positions": [[0.000, 0.000, 0.186], [0.000, 0.000, 0.814], [0.500, 0.500, 0.000], [0.500, 0.500, 0.500], [0.000, 0.000, 0.500], [0.000, 0.500, 0.207], [0.000, 0.500, 0.793], [0.500, 0.000, 0.207], [0.500, 0.000, 0.793]],
  "energy_ev_per_atom": -5.0215,
  "sg": "P4/mmm (123)",
  "magmom_total_mub_per_cell": 2.006
}

---

[3]
{
  "formula": "KDySe2O8",
  "functional": "GGA-PBE",
  "state": "optimized geometry",
  "lattice_angstrom": [[5.639, 0.000, 0.000], [-2.819, 4.883, 0.000], [0.000, 0.000, 7.251]],
  "species": ["K", "Dy", "Se", "Se", "O", "O", "O", "O", "O", "O", "O", "O"],
  "fractional_positions": [[0.000, 0.000, 0.000], [0.000, 0.000, 0.500], [0.333, 0.667, 0.777], [0.667, 0.333, 0.223], [0.174, 0.349, 0.693], [0.174, 0.826, 0.693], [0.333, 0.667, 0.003], [0.349, 0.174, 0.307], [0.651, 0.826, 0.693], [0.667, 0.333, 0.997], [0.826, 0.174, 0.307], [0.826, 0.651, 0.307]],
  "de_polymorph_ev_per_atom": 0.005,
  "sg": "P-3m1 (164)",
  "magmom_total_mub_per_cell": 0.001
}

---

[4]
{
  "formula": "KDySe2O8",
  "functional": "GGA-PBE",
  "state": "optimized geometry",
  "lattice_angstrom": [[27.039, 0.000, 0.000], [0.000, 5.563, 0.000], [0.000, 0.000, 8.798]],
  "species": ["K", "K", "K", "K", "K", "K", "K", "K", "Dy", "Dy", "Dy", "Dy", "Dy", "Dy", "Dy", "Dy", "Se", "Se", "Se", "Se", "Se", "Se", "Se", "Se", "Se", "Se", "Se", "Se", "Se", "Se", "Se", "Se", "O", "O", "O", "O", "O", "O", "O", "O", "O", "O", "O", "O", "O", "O", "O", "O", "O", "O", "O", "O", "O", "O", "O", "O", "O", "O", "O", "O", "O", "O", "O", "O", "O", "O", "O", "O", "O", "O", "O", "O", "O", "O", "O", "O", "O", "O", "O", "O", "O", "O", "O", "O", "O", "O", "O", "O", "O", "O", "O", "O", "O", "O", "O", "O"],
  "fractional_positions": [[0.081, 0.245, 0.000], [0.168, 0.710, 0.357], [0.332, 0.210, 0.857], [0.419, 0.745, 0.500], [0.581, 0.255, 0.000], [0.668, 0.790, 0.357], [0.832, 0.290, 0.857], [0.919, 0.755, 0.500], [0.055, 0.227, 0.469], [0.197, 0.668, 0.891], [0.303, 0.168, 0.391], [0.445, 0.727, 0.969], [0.555, 0.273, 0.469], [0.697, 0.832, 0.891], [0.803, 0.332, 0.391], [0.945, 0.773, 0.969], [0.045, 0.762, 0.266], [0.068, 0.741, 0.745], [0.182, 0.181, 0.619], [0.205, 0.207, 0.093], [0.295, 0.707, 0.593], [0.318, 0.681, 0.119], [0.432, 0.241, 0.245], [0.455, 0.262, 0.766], [0.545, 0.738, 0.266], [0.568, 0.759, 0.745], [0.682, 0.319, 0.619], [0.705, 0.293, 0.093], [0.795, 0.793, 0.593], [0.818, 0.819, 0.119], [0.932, 0.259, 0.245], [0.955, 0.238, 0.766], [0.009, 0.684, 0.794], [0.011, 0.832, 0.418], [0.017, 0.743, 0.100], [0.073, 0.028, 0.690], [0.079, 0.512, 0.288], [0.082, 0.562, 0.599], [0.085, 0.994, 0.264], [0.106, 0.698, 0.891], [0.144, 0.206, 0.471], [0.163, 0.361, 0.758], [0.168, 0.447, 0.100], [0.170, 0.970, 0.048], [0.181, 0.896, 0.679], [0.229, 0.166, 0.264], [0.240, 0.260, 0.571], [0.243, 0.274, 0.950], [0.257, 0.774, 0.450], [0.260, 0.760, 0.071], [0.271, 0.666, 0.764], [0.319, 0.396, 0.179], [0.330, 0.470, 0.548], [0.332, 0.947, 0.600], [0.337, 0.861, 0.258], [0.356, 0.706, 0.971], [0.394, 0.198, 0.391], [0.415, 0.494, 0.764], [0.418, 0.062, 0.099], [0.421, 0.012, 0.788], [0.427, 0.528, 0.190], [0.483, 0.243, 0.600], [0.489, 0.332, 0.918], [0.491, 0.184, 0.294], [0.509, 0.816, 0.794], [0.511, 0.668, 0.418], [0.517, 0.757, 0.100], [0.573, 0.472, 0.690], [0.579, 0.988, 0.288], [0.582, 0.938, 0.599], [0.585, 0.506, 0.264], [0.606, 0.802, 0.891], [0.644, 0.294, 0.471], [0.663, 0.139, 0.758], [0.668, 0.053, 0.100], [0.670, 0.530, 0.048], [0.681, 0.604, 0.679], [0.729, 0.334, 0.264], [0.740, 0.240, 0.571], [0.743, 0.226, 0.950], [0.757, 0.726, 0.450], [0.760, 0.740, 0.071], [0.771, 0.834, 0.764], [0.819, 0.104, 0.179], [0.830, 0.030, 0.548], [0.832, 0.553, 0.600], [0.837, 0.639, 0.258], [0.856, 0.794, 0.971], [0.894, 0.302, 0.391], [0.915, 0.006, 0.764], [0.918, 0.438, 0.099], [0.921, 0.488, 0.788], [0.927, 0.972, 0.190], [0.983, 0.257, 0.600], [0.989, 0.168, 0.918], [0.991, 0.316, 0.294]],
  "de_polymorph_ev_per_atom": 0.000,
  "sg": "Pna2_1 (33)",
  "magmom_total_mub_per_cell": 0.001
}

---

[5]
{
  "formula": "K3DySi2O7",
  "functional": "GGA-PBE",
  "state": "optimized geometry",
  "lattice_angstrom": [[9.848, 0.000, 0.000], [-4.924, 8.528, 0.000], [0.000, 0.000, 14.328]],
  "species": ["K", "K", "K", "K", "K", "K", "K", "K", "K", "K", "K", "K", "K", "K", "K", "K", "K", "K", "Dy", "Dy", "Dy", "Dy", "Dy", "Dy", "Si", "Si", "Si", "Si", "Si", "Si", "Si", "Si", "Si", "Si", "Si", "Si", "O", "O", "O", "O", "O", "O", "O", "O", "O", "O", "O", "O", "O", "O", "O", "O", "O", "O", "O", "O", "O", "O", "O", "O", "O", "O", "O", "O", "O", "O", "O", "O", "O", "O", "O", "O", "O", "O", "O", "O", "O", "O"],
  "fractional_positions": [[0.000, 0.000, 0.000], [0.000, 0.000, 0.500], [0.000, 0.332, 0.092], [0.000, 0.332, 0.408], [0.000, 0.668, 0.592], [0.000, 0.668, 0.908], [0.332, 0.000, 0.092], [0.332, 0.000, 0.408], [0.332, 0.332, 0.592], [0.332, 0.332, 0.908], [0.333, 0.667, 0.250], [0.333, 0.667, 0.750], [0.667, 0.333, 0.250], [0.667, 0.333, 0.750], [0.668, 0.000, 0.592], [0.668, 0.000, 0.908], [0.668, 0.668, 0.092], [0.668, 0.668, 0.408], [0.000, 0.000, 0.250], [0.000, 0.000, 0.750], [0.333, 0.667, 0.000], [0.333, 0.667, 0.500], [0.667, 0.333, 0.000], [0.667, 0.333, 0.500], [0.000, 0.341, 0.643], [0.000, 0.341, 0.857], [0.000, 0.659, 0.143], [0.000, 0.659, 0.357], [0.341, 0.000, 0.643], [0.341, 0.000, 0.857], [0.341, 0.341, 0.143], [0.341, 0.341, 0.357], [0.659, 0.000, 0.143], [0.659, 0.000, 0.357], [0.659, 0.659, 0.643], [0.659, 0.659, 0.857], [0.000, 0.176, 0.647], [0.000, 0.176, 0.853], [0.000, 0.410, 0.750], [0.000, 0.590, 0.250], [0.000, 0.824, 0.147], [0.000, 0.824, 0.353], [0.157, 0.478, 0.592], [0.157, 0.478, 0.908], [0.157, 0.679, 0.092], [0.157, 0.679, 0.408], [0.176, 0.000, 0.647], [0.176, 0.000, 0.853], [0.176, 0.176, 0.147], [0.176, 0.176, 0.353], [0.321, 0.478, 0.092], [0.321, 0.478, 0.408], [0.321, 0.843, 0.592], [0.321, 0.843, 0.908], [0.410, 0.000, 0.750], [0.410, 0.410, 0.250], [0.478, 0.157, 0.592], [0.478, 0.157, 0.908], [0.478, 0.321, 0.092], [0.478, 0.321, 0.408], [0.522, 0.679, 0.592], [0.522, 0.679, 0.908], [0.522, 0.843, 0.092], [0.522, 0.843, 0.408], [0.590, 0.000, 0.250], [0.590, 0.590, 0.750], [0.679, 0.157, 0.092], [0.679, 0.157, 0.408], [0.679, 0.522, 0.592], [0.679, 0.522, 0.908], [0.824, 0.000, 0.147], [0.824, 0.000, 0.353], [0.824, 0.824, 0.647], [0.824, 0.824, 0.853], [0.843, 0.321, 0.592], [0.843, 0.321, 0.908], [0.843, 0.522, 0.092], [0.843, 0.522, 0.408]],
  "energy_ev_per_atom": -6.8171,
  "sg": "P6_3/mcm (193)",
  "magmom_total_mub_per_cell": 0.026
}

---

[6]
{
  "formula": "KDyTeO",
  "functional": "GGA-PBE",
  "state": "optimized geometry",
  "lattice_angstrom": [[1.938, 1.119, 7.483], [-1.938, 1.119, 7.483], [0.000, -2.238, 7.483]],
  "species": ["K", "Dy", "Te", "O"],
  "fractional_positions": [[0.000, 0.000, 0.000], [0.468, 0.468, 0.468], [0.224, 0.224, 0.224], [0.760, 0.760, 0.760]],
  "de_polymorph_ev_per_atom": 0.318,
  "sg": "R3m (160)",
  "magmom_total_mub_per_cell": 0.013
}

---

[7]
{
  "formula": "KDyTeO",
  "functional": "GGA-PBE",
  "state": "optimized geometry",
  "lattice_angstrom": [[9.119, 0.000, 0.000], [0.000, 7.397, 0.000], [-1.317, 0.000, 6.542]],
  "species": ["K", "K", "K", "K", "Dy", "Dy", "Dy", "Dy", "Te", "Te", "Te", "Te", "O", "O", "O", "O"],
  "fractional_positions": [[0.135, 0.088, 0.318], [0.135, 0.412, 0.818], [0.865, 0.588, 0.182], [0.865, 0.912, 0.682], [0.491, 0.637, 0.791], [0.491, 0.863, 0.291], [0.509, 0.137, 0.709], [0.509, 0.363, 0.209], [0.247, 0.573, 0.361], [0.247, 0.927, 0.861], [0.753, 0.073, 0.139], [0.753, 0.427, 0.639], [0.428, 0.140, 0.381], [0.428, 0.360, 0.881], [0.572, 0.640, 0.119], [0.572, 0.860, 0.619]],
  "de_polymorph_ev_per_atom": 0.000,
  "sg": "P2_1/c (14)",
  "magmom_total_mub_per_cell": 0.003
}

---

[8]
{
  "formula": "KDyTeO",
  "functional": "GGA-PBE",
  "state": "optimized geometry",
  "lattice_angstrom": [[4.228, 0.000, 0.000], [0.000, 4.228, 0.000], [0.000, 0.000, 10.667]],
  "species": ["K", "K", "Dy", "Dy", "Te", "Te", "O", "O"],
  "fractional_positions": [[0.250, 0.750, 0.000], [0.750, 0.250, 0.000], [0.250, 0.250, 0.412], [0.750, 0.750, 0.588], [0.250, 0.250, 0.763], [0.750, 0.750, 0.237], [0.250, 0.750, 0.500], [0.750, 0.250, 0.500]],
  "de_polymorph_ev_per_atom": 0.235,
  "sg": "P4/nmm (129)",
  "magmom_total_mub_per_cell": 0.002
}

---

[9]
{
  "formula": "KDyTeO",
  "functional": "GGA-PBE",
  "state": "optimized geometry",
  "lattice_angstrom": [[4.721, 0.000, 0.000], [0.000, 8.440, 0.000], [0.000, 0.000, 6.795]],
  "species": ["K", "K", "Dy", "Dy", "Te", "Te", "O", "O"],
  "fractional_positions": [[0.000, 0.215, 0.000], [0.000, 0.785, 0.500], [0.500, 0.391, 0.401], [0.500, 0.609, 0.901], [0.000, 0.196, 0.510], [0.000, 0.804, 0.010], [0.500, 0.413, 0.090], [0.500, 0.587, 0.590]],
  "de_polymorph_ev_per_atom": 0.161,
  "sg": "Pmc2_1 (26)",
  "magmom_total_mub_per_cell": 0.001
}

---

[10]
{
  "formula": "KDyZnO3",
  "functional": "GGA-PBE",
  "state": "optimized geometry",
  "lattice_angstrom": [[1.740, -5.987, 0.000], [1.740, 5.987, 0.000], [0.000, 0.000, 9.019]],
  "species": ["K", "K", "Dy", "Dy", "Zn", "Zn", "O", "O", "O", "O", "O", "O"],
  "fractional_positions": [[0.219, 0.781, 0.750], [0.781, 0.219, 0.250], [0.500, 0.500, 0.000], [0.500, 0.500, 0.500], [0.059, 0.941, 0.250], [0.941, 0.059, 0.750], [0.117, 0.883, 0.054], [0.117, 0.883, 0.446], [0.460, 0.540, 0.250], [0.540, 0.460, 0.750], [0.883, 0.117, 0.554], [0.883, 0.117, 0.946]],
  "energy_ev_per_atom": -5.8612,
  "sg": "Cmcm (63)",
  "magmom_total_mub_per_cell": 0.005
}

---

[11]
{
  "formula": "K3DyP2",
  "functional": "GGA-PBE",
  "state": "optimized geometry",
  "lattice_angstrom": [[-3.915, 7.511, 3.562], [3.915, -7.511, 3.562], [3.915, 7.511, -3.562]],
  "species": ["K", "K", "K", "K", "K", "K", "Dy", "Dy", "P", "P", "P", "P"],
  "fractional_positions": [[0.195, 0.701, 0.896], [0.250, 0.250, 0.000], [0.305, 0.201, 0.506], [0.695, 0.799, 0.494], [0.750, 0.750, 0.000], [0.805, 0.299, 0.104], [0.250, 0.750, 0.500], [0.750, 0.250, 0.500], [0.098, 0.308, 0.406], [0.402, 0.808, 0.210], [0.598, 0.192, 0.790], [0.902, 0.692, 0.594]],
  "energy_ev_per_atom": -3.7777,
  "sg": "Ibam (72)",
  "magmom_total_mub_per_cell": 0.001
}

---

[12]
{
  "formula": "KDyPa",
  "functional": "GGA-PBE",
  "state": "optimized geometry",
  "lattice_angstrom": [[0.000, 3.991, 3.991], [3.991, 0.000, 3.991], [3.991, 3.991, 0.000]],
  "species": ["K", "Dy", "Pa"],
  "fractional_positions": [[0.000, 0.000, 0.000], [0.250, 0.250, 0.250], [0.500, 0.500, 0.500]],
  "de_polymorph_ev_per_atom": 0.000,
  "sg": "F-43m (216)",
  "magmom_total_mub_per_cell": 4.074
}